Compound: Li2ReAu
Source: Alexandria via LeMat-Bulk
Functional: meta-GGA SCAN
Structure: PBEsol geometry

```
8
Lattice="5.175 0.000 0.000 2.587 4.729 0.000 2.587 0.000 4.729" Properties=species:S:1:pos:R:3 pbc="T T T"
Au 6.468 2.364 2.364
Au 0.000 0.000 0.000
Li 5.821 2.301 0.063
Li 5.821 2.427 4.666
Li 1.940 0.063 2.427
Re 3.881 2.364 2.364
Li 7.115 4.666 2.301
Re 2.587 0.000 0.000
```

Summary:
total DFT energy (no corrections) = -284.53 eV for the cell shown
relative energy among the computed polymorphs = 757 meV/atom



Compound: HfCuAg2Br
Source: Alexandria via LeMat-Bulk
Functional: meta-GGA SCAN
Structure: PBEsol geometry

```
5
Lattice="-0.549 0.403 4.829 -2.083 -4.372 0.129 4.340 -2.048 0.664" Properties=species:S:1:pos:R:3 pbc="T T T"
Ag 2.170 -1.024 0.332
Br 0.000 0.000 0.000
Hf -0.274 0.202 2.414
Cu 0.854 -3.009 2.811
Ag -1.041 -2.186 0.064
```

Summary:
total DFT energy (no corrections) = -153.96 eV for the cell shown



Compound: K2BeHg
Source: Alexandria via LeMat-Bulk
Functional: meta-GGA SCAN
Structure: PBEsol geometry

```
4
Lattice="-5.059 -1.861 -0.335 1.743 -4.217 -2.889 2.180 1.039 4.847" Properties=species:S:1:pos:R:3 pbc="T T T"
Hg 1.132 -3.109 0.173
Be -1.658 -3.039 -1.612
K -2.268 -1.931 1.450
K 0.000 0.000 0.000
```

Summary:
total DFT energy (no corrections) = -87.50 eV for the cell shown
relative energy among the computed polymorphs = 186 meV/atom



Compound: Be2PPb
Source: Alexandria via LeMat-Bulk
Functional: meta-GGA SCAN
Structure: PBEsol geometry

```
4
Lattice="-2.319 2.001 1.557 -2.678 -1.416 -2.168 0.009 -3.039 3.919" Properties=species:S:1:pos:R:3 pbc="T T T"
Be -2.494 -1.227 1.654
P -2.498 0.292 -0.306
Be 0.000 0.000 0.000
Pb 0.004 -1.519 1.960
```

Summary:
total DFT energy (no corrections) = -92.69 eV for the cell shown
relative energy among the computed polymorphs = 82 meV/atom



Compound: ReWBr
Source: Alexandria via LeMat-Bulk
Functional: meta-GGA SCAN
Structure: PBEsol geometry

```
3
Lattice="-1.923 -2.166 -0.446 2.360 -1.466 -3.058 1.728 -0.445 4.337" Properties=species:S:1:pos:R:3 pbc="T T T"
Re 0.880 -2.585 -0.872
W 1.282 -1.490 1.704
Br 0.001 -0.002 0.002
```

Summary:
total DFT energy (no corrections) = -156.12 eV for the cell shown



Compound: CuIr3
Source: Alexandria via LeMat-Bulk
Functional: meta-GGA SCAN
Structure: PBEsol geometry

```
4
Lattice="-2.393 1.208 -0.322 -0.448 -4.316 -1.547 -0.950 -0.692 4.467" Properties=species:S:1:pos:R:3 pbc="T T T"
Ir -1.529 -2.358 2.515
Ir -1.672 0.258 2.073
Cu 0.000 0.000 0.000
Ir -2.262 -1.442 0.084
```

Summary:
total DFT energy (no corrections) = -228.32 eV for the cell shown



Compound: Li2NiMo
Source: Alexandria via LeMat-Bulk
Functional: meta-GGA SCAN
Structure: PBEsol geometry

```
4
Lattice="-1.242 -1.980 -0.848 3.951 -1.440 1.219 -2.172 -0.599 4.583" Properties=species:S:1:pos:R:3 pbc="T T T"
Li -0.010 -1.705 3.996
Mo 2.292 -2.659 2.852
Ni 0.375 -2.337 1.263
Li -2.048 -0.647 4.512
```

Summary:
total DFT energy (no corrections) = -54.76 eV for the cell shown
relative energy among the computed polymorphs = 6 meV/atom



Compound: AlGeN2O
Source: Alexandria via LeMat-Bulk
Functional: meta-GGA SCAN
Structure: PBEsol geometry

```
5
Lattice="3.646 0.000 0.000 0.000 3.760 0.000 0.000 0.000 3.760" Properties=species:S:1:pos:R:3 pbc="T T T"
Ge 0.000 0.000 0.000
N 0.000 1.880 0.000
Al 1.823 1.880 1.880
N 0.000 0.000 1.880
O 1.823 0.000 0.000
```

Summary:
total DFT energy (no corrections) = -49.56 eV for the cell shown



Compound: K2NaMoCl6
Source: Alexandria via LeMat-Bulk
Functional: meta-GGA SCAN
Structure: PBEsol geometry

```
10
Lattice="7.172 0.000 0.000 3.586 6.211 0.000 3.586 2.070 5.856" Properties=species:S:1:pos:R:3 pbc="T T T"
Cl 5.291 3.055 4.464
Cl 9.054 5.227 1.392
Mo 0.000 0.000 0.000
Cl 9.054 3.055 4.464
Cl 5.291 5.227 1.392
Na 7.172 4.141 2.928
Cl 7.172 6.313 4.464
Cl 7.172 1.968 1.392
K 3.586 2.070 1.464
K 10.758 6.211 4.392
```

Summary:
total DFT energy (no corrections) = -120.97 eV for the cell shown



Compound: SrCaP2
Source: Alexandria via LeMat-Bulk
Functional: meta-GGA SCAN
Structure: PBEsol geometry

```
4
Lattice="3.403 0.000 0.000 0.000 4.906 0.000 0.000 0.000 5.953" Properties=species:S:1:pos:R:3 pbc="T T T"
P 0.000 0.000 2.976
Sr 0.000 0.000 0.000
P 1.702 2.453 0.000
Ca 1.702 2.453 2.976
```

Summary:
total DFT energy (no corrections) = -56.00 eV for the cell shown



Compound: SbAu4
Source: Alexandria via LeMat-Bulk
Functional: meta-GGA SCAN
Structure: PBEsol geometry

```
5
Lattice="4.042 0.000 0.000 2.021 4.766 0.000 2.021 0.000 4.766" Properties=species:S:1:pos:R:3 pbc="T T T"
Sb 0.000 0.000 0.000
Au 2.021 1.957 0.963
Au 6.063 2.808 3.802
Au 4.042 3.802 1.957
Au 4.042 0.963 2.808
```

Summary:
total DFT energy (no corrections) = -313.54 eV for the cell shown



Compound: LiCu2Ir
Source: Alexandria via LeMat-Bulk
Functional: meta-GGA SCAN
Structure: PBEsol geometry

```
4
Lattice="-1.277 -2.213 0.050 0.159 0.009 4.496 -3.100 3.249 -0.677" Properties=species:S:1:pos:R:3 pbc="T T T"
Li -2.452 -0.043 0.782
Cu -4.323 1.006 -0.587
Cu -1.776 1.092 2.993
Ir -0.602 -1.076 2.326
```

Summary:
total DFT energy (no corrections) = -104.08 eV for the cell shown
relative energy among the computed polymorphs = 71 meV/atom



Compound: AlCOF2
Source: Alexandria via LeMat-Bulk
Functional: meta-GGA SCAN
Structure: PBEsol geometry

```
5
Lattice="2.695 0.000 0.000 0.000 4.484 0.000 0.000 0.000 4.484" Properties=species:S:1:pos:R:3 pbc="T T T"
C 0.000 0.000 0.000
O 1.347 0.000 0.000
F 0.000 0.000 2.242
Al 1.347 2.242 2.242
F 0.000 2.242 0.000
```

Summary:
total DFT energy (no corrections) = -31.18 eV for the cell shown



Compound: Ag2RhPb
Source: Alexandria via LeMat-Bulk
Functional: meta-GGA SCAN
Structure: PBEsol geometry

```
4
Lattice="4.164 0.000 0.000 0.000 4.158 0.000 -2.082 -2.079 4.021" Properties=species:S:1:pos:R:3 pbc="T T T"
Rh 0.000 2.079 2.010
Pb 0.000 0.000 4.020
Ag 2.082 0.000 2.011
Ag 0.000 0.000 0.000
```

Summary:
total DFT energy (no corrections) = -171.64 eV for the cell shown



Compound: CsRbMo3P3O17
Source: Alexandria via LeMat-Bulk
Functional: meta-GGA SCAN
Structure: PBEsol geometry

```
100
Lattice="-6.474 7.028 -0.097 -7.322 -6.685 4.272 0.684 0.845 15.505" Properties=species:S:1:pos:R:3 pbc="T T T"
O -7.474 5.504 8.638
O -6.733 3.524 12.106
O -10.744 1.764 13.180
Rb -8.430 3.626 4.934
O -2.190 1.228 13.193
O -3.821 -0.156 3.587
P -9.822 2.804 8.249
O -8.937 1.876 7.357
O -7.414 -1.621 16.364
P -12.245 -0.456 7.149
O -6.037 4.335 6.204
Mo -6.611 5.507 12.482
O -8.865 3.981 16.253
O -5.698 2.808 3.317
O -7.074 -3.148 13.477
O -9.172 -3.686 4.343
O -8.110 -4.576 11.470
O -5.001 5.764 8.211
O -10.698 -2.140 10.669
O -6.679 0.010 3.636
O -10.921 -0.040 6.487
O -9.597 4.206 7.636
Rb -2.936 2.189 4.834
P -0.866 1.643 12.531
Cs -11.067 1.569 18.751
O -4.618 -0.257 17.079
O -7.782 2.595 14.186
Cs -7.117 -1.398 10.792
O -2.367 -0.576 6.501
O -7.248 5.503 14.031
Mo -7.742 -1.985 17.985
O -4.673 5.358 12.977
O -3.515 -3.018 12.045
P -5.846 -1.061 6.900
O -1.149 2.166 11.114
O -13.266 0.699 7.135
O -4.834 1.335 1.116
O -8.765 0.722 4.909
O -6.378 -2.337 7.574
O -8.277 -0.148 18.565
O -13.289 0.510 10.385
P -7.265 2.249 12.780
O -6.233 3.761 16.442
O -7.337 -4.399 9.171
P -8.183 0.258 3.573
O -5.637 -4.316 11.043
Mo -8.327 -4.308 13.433
O -9.731 -2.172 17.573
O -6.878 -2.574 3.238
P -3.289 -1.616 11.432
Rb -4.682 -2.439 14.746
O -2.408 0.684 8.862
O -9.019 -0.686 8.448
O -8.439 -4.171 6.703
O -3.939 4.873 15.338
Mo -8.032 2.497 16.138
Cs -2.044 -0.382 0.929
O -4.093 1.873 11.233
O -3.719 -1.494 9.981
Mo -2.779 -0.849 8.121
Mo -5.369 3.172 1.696
O -10.704 0.504 10.819
O -7.504 -3.944 17.655
O -1.812 -1.206 11.583
Rb -10.176 -1.002 14.847
O 0.154 0.488 12.545
Cs -5.995 2.586 8.889
O -4.361 2.972 13.758
Mo -10.332 2.037 11.560
O -6.198 1.137 12.798
O -5.608 5.131 2.026
O -11.299 2.394 8.098
O -5.329 -1.407 5.495
Mo -5.080 -1.310 3.543
Mo -8.941 -0.075 6.891
O -11.962 -0.979 8.567
P -6.940 -4.998 10.521
Mo -4.784 5.496 6.248
O -3.380 3.359 2.108
Mo -4.171 1.262 12.790
P -9.278 -3.225 5.785
O -4.707 -0.456 7.758
O -6.914 0.051 6.883
O -5.864 -4.315 5.650
O -8.404 1.644 11.923
Mo -6.501 -4.319 7.198
O -8.751 -1.785 5.922
P -3.833 4.413 13.895
O -9.291 1.343 16.094
O 0.178 0.677 9.296
O -6.433 1.178 16.044
O -4.175 -0.689 12.324
O -9.392 2.682 9.699
O -2.414 3.327 9.012
O -8.493 1.444 2.602
P -6.171 6.185 9.160
O -5.775 5.586 10.510
P -4.929 0.930 16.108
O -4.346 0.465 14.772
O -4.247 -2.794 3.428
```

Summary:
total DFT energy (no corrections) = -1436.77 eV for the cell shown



Compound: BaTl2Pb2
Source: Alexandria via LeMat-Bulk
Functional: meta-GGA SCAN
Structure: PBEsol geometry

```
5
Lattice="5.010 0.000 0.000 0.000 5.010 0.000 -2.505 -2.505 6.787" Properties=species:S:1:pos:R:3 pbc="T T T"
Pb 0.000 0.000 5.262
Tl 2.505 0.000 3.394
Pb 2.505 2.505 1.526
Tl 0.000 2.505 3.394
Ba 0.000 0.000 0.000
```

Summary:
total DFT energy (no corrections) = -337.59 eV for the cell shown
relative energy among the computed polymorphs = 0 meV/atom



Compound: LiFeAs
Source: Alexandria via LeMat-Bulk
Functional: meta-GGA SCAN
Structure: PBEsol geometry

```
6
Lattice="3.733 0.000 0.000 0.000 3.733 0.000 0.000 0.000 6.050" Properties=species:S:1:pos:R:3 pbc="T T T"
Li 0.000 1.867 1.003
As 1.867 0.000 1.670
As 0.000 1.867 4.379
Fe 1.867 1.867 3.025
Li 1.867 0.000 5.047
Fe 0.000 0.000 3.025
```

Summary:
total DFT energy (no corrections) = -83.85 eV for the cell shown



Compound: KIn5
Source: Alexandria via LeMat-Bulk
Functional: meta-GGA SCAN
Structure: PBEsol geometry

```
6
Lattice="3.370 0.000 0.000 0.000 5.192 0.000 -1.685 0.000 9.594" Properties=species:S:1:pos:R:3 pbc="T T T"
In 1.685 0.000 3.776
In 1.685 0.000 9.257
In 0.000 2.596 8.246
K 0.000 2.596 2.000
In 1.685 2.596 5.439
In 0.000 0.000 6.461
```

Summary:
total DFT energy (no corrections) = -175.62 eV for the cell shown
relative energy among the computed polymorphs = 0 meV/atom



Compound: InAgN2O
Source: Alexandria via LeMat-Bulk
Functional: meta-GGA SCAN
Structure: PBEsol geometry

```
5
Lattice="-0.575 -4.100 -0.101 4.188 -0.597 0.383 -0.394 -0.049 4.230" Properties=species:S:1:pos:R:3 pbc="T T T"
O -0.288 -2.050 -0.051
N 2.094 -0.299 0.192
N -0.197 -0.024 2.115
In 0.000 0.000 0.000
Ag 1.610 -2.373 2.256
```

Summary:
total DFT energy (no corrections) = -83.88 eV for the cell shown



Compound: BeInRe2
Source: Alexandria via LeMat-Bulk
Functional: meta-GGA SCAN
Structure: PBEsol geometry

```
4
Lattice="2.974 0.000 0.000 0.000 4.454 0.000 -1.487 -2.227 4.289" Properties=species:S:1:pos:R:3 pbc="T T T"
Re 0.000 0.000 1.784
In 0.000 2.227 0.000
Re 1.487 2.227 2.505
Be 1.487 0.000 0.000
```

Summary:
total DFT energy (no corrections) = -178.42 eV for the cell shown
relative energy among the computed polymorphs = 0 meV/atom